1.
Computed, not measured: a geometry-optimized VGa2H2 structure at the PBE level of DFT.

Cell lengths 5.391, 5.391, 3.668 Å; angles 90.00, 90.00, 90.00 degrees
Space group P4/mbm (No. 127)
Inequivalent atoms, fractional coordinates:
V  0.000  0.000  0.000 x2
Ga  0.188  0.312  0.500 x4
H  0.200  0.700  0.000 x4


2.
Computed, not measured: a geometry-optimized V12Ga5H2 structure at the PBE level of DFT.

Cell lengths 6.468, 6.789, 11.383 Å; angles 90.00, 90.00, 90.00 degrees
Space group Immm (No. 71)
Inequivalent atoms, fractional coordinates:
V  0.000  0.166  0.000 x4
V  0.000  0.256  0.500 x4
V  0.202  0.000  0.371 x8
V  0.248  0.000  0.142 x8
Ga  0.000  0.270  0.238 x8
Ga  0.000  0.500  0.000 x2
H  0.142  0.500  0.500 x4


3.
Computed, not measured: a geometry-optimized V3Ga2H2 structure at the PBE level of DFT.

Cell lengths 9.425, 3.183, 5.303 Å; angles 90.00, 91.86, 90.00 degrees
Space group C2/m (No. 12)
Inequivalent atoms, fractional coordinates:
V  0.000  0.000  0.000 x2
V  0.189  0.500  0.194 x4
Ga  0.103  0.500  0.676 x4
H  0.109  0.000  0.281 x4


4.
Computed, not measured: a geometry-optimized V2GaH4 structure at the PBE level of DFT.

Cell lengths 4.818, 4.818, 9.706 Å; angles 90.00, 90.00, 90.00 degrees
Space group I4_122 (No. 98)
Inequivalent atoms, fractional coordinates:
V  0.017  0.750  0.125 x8
Ga  0.000  0.000  0.500 x4
H  0.011  0.233  0.318 x16


5.
Computed, not measured: a geometry-optimized ZrVGaH2 structure at the PBE level of DFT.

Cell lengths 3.717, 3.717, 4.833 Å; angles 90.00, 90.00, 90.00 degrees
Space group P4/mmm (No. 123)
Inequivalent atoms, fractional coordinates:
Zr  0.000  0.000  0.000 x1
V  0.500  0.500  0.500 x1
Ga  0.500  0.500  0.000 x1
H  0.000  0.500  0.500 x2


6.
Computed, not measured: a geometry-optimized Zr2VGaH structure at the PBE level of DFT.

Cell lengths 4.483, 4.483, 3.771 Å; angles 90.00, 90.00, 90.00 degrees
Space group P4/mmm (No. 123)
Inequivalent atoms, fractional coordinates:
Zr  0.000  0.500  0.000 x2
V  0.000  0.000  0.500 x1
Ga  0.500  0.500  0.500 x1
H  0.000  0.000  0.000 x1


7.
Computed, not measured: a geometry-optimized Ga3HW structure at the PBE level of DFT.

Cell lengths 4.057, 4.057, 4.057 Å; angles 90.00, 90.00, 90.00 degrees
Space group Pm-3m (No. 221)
Inequivalent atoms, fractional coordinates:
Ga  0.000  0.000  0.500 x3
H  0.000  0.000  0.000 x1
W  0.500  0.500  0.500 x1

## Properties
Energy above the most stable polymorph in this dataset in meV/atom: 0


8.
Computed, not measured: a geometry-optimized Ga2HW structure at the PBE level of DFT.

Cell lengths 6.347, 6.347, 5.025 Å; angles 90.00, 90.00, 90.00 degrees
Space group I-42d (No. 122)
Inequivalent atoms, fractional coordinates:
Ga  0.166  0.250  0.125 x8
H  0.000  0.000  0.000 x4
W  0.000  0.000  0.500 x4

## Properties
Energy above the most stable polymorph in this dataset in meV/atom: 0


| no. | final energy (eV per cell) |
| --- | --- |
| 1 | -42.10 |
| 2 | -260.82 |
| 3 | -81.95 |
| 4 | -138.35 |
| 5 | -26.44 |
| 6 | -34.15 |
| 7 | -22.98 |
| 8 | -82.68 |